Pm3Dy2Bi3, relaxed, DFT GGA-PBE; volume = 30.595 A^3/atom; uncorrected energy = -82.05 eV per cell; mass density = 9.4 Mg/m³
1.0
9.3259 0.0000 0.0000
-4.6629 8.0764 0.0000
0.0000 0.0000 6.4993
Pm Dy Bi
6 4 6
Cartesian
-1.1453 1.9838 1.6248
-3.5176 6.0927 4.8745
2.2906 0.0000 1.6248
1.1453 1.9838 4.8745
7.0352 0.0000 4.8745
3.5176 6.0927 1.6248
0.0000 5.3843 0.0000
0.0000 5.3843 3.2496
4.6629 2.6921 0.0000
4.6629 2.6921 3.2496
-1.8280 3.1661 4.8745
-2.8350 4.9103 1.6248
3.6559 0.0000 4.8745
1.8280 3.1661 1.6248
5.6699 0.0000 1.6248
2.8350 4.9103 4.8745

***

Pm2DyBi3, relaxed, DFT GGA-PBE; volume = 33.192 A^3/atom; uncorrected energy = -31.21 eV per cell; mass density = 9.0 Mg/m³
1.0
-2.2730 3.2132 6.8170
2.2730 -3.2132 6.8170
2.2730 3.2132 -6.8170
Pm Dy Bi
2 1 3
Cartesian
0.0000 0.0000 2.2879
0.0000 0.0000 11.3462
0.0000 0.0000 6.8170
2.2730 0.0000 0.0000
2.2730 0.0000 4.5957
0.0000 3.2132 2.2213

***

Pm3DyBi4, relaxed, DFT GGA-PBE; volume = 33.395 A^3/atom; uncorrected energy = -41.72 eV per cell; mass density = 8.9 Mg/m³
1.0
4.5540 -6.4393 0.0000
4.5540 6.4393 0.0000
0.0000 0.0000 4.5552
Pm Dy Bi
3 1 4
Cartesian
0.0000 0.0000 0.0000
2.2770 3.2197 2.2776
2.2770 -3.2197 2.2776
4.5540 0.0000 0.0000
4.5540 3.1896 0.0000
2.3187 0.0000 2.2776
6.7893 0.0000 2.2776
4.5540 -3.1896 0.0000

***

PmDy3Bi3, relaxed, DFT GGA-PBE; volume = 33.001 A^3/atom; uncorrected energy = -69.68 eV per cell; mass density = 9.1 Mg/m³
1.0
4.6045 2.6584 6.2906
-4.6045 2.6584 6.2906
0.0000 -5.3169 6.2906
Pm Dy Bi
2 6 6
Cartesian
0.0000 0.0000 3.1354
0.0000 0.0000 15.7364
-1.1892 -2.0761 7.8891
-2.3925 -0.0081 10.9827
-1.2033 2.0679 7.8891
1.2033 -2.0679 10.9827
2.3925 0.0082 7.8891
1.1892 2.0761 10.9827
-3.5517 -0.0169 7.8335
-1.7612 -3.0843 11.0384
1.7905 -3.0674 7.8335
-1.7905 3.0674 11.0384
1.7612 3.0843 7.8335
3.5517 0.0169 11.0384

***

Pm2DyBi, relaxed, DFT GGA-PBE; volume = 35.508 A^3/atom; uncorrected energy = -18.73 eV per cell; mass density = 7.7 Mg/m³
1.0
2.0625 1.1908 9.6388
-2.0625 1.1908 9.6388
0.0000 -2.3815 9.6388
Pm Dy Bi
2 1 1
Cartesian
0.0000 0.0000 0.0000
0.0000 0.0000 5.5275
0.0000 0.0000 22.0428
0.0000 0.0000 17.2275

***

Pm2DyBi, relaxed, DFT GGA-PBE; volume = 34.043 A^3/atom; uncorrected energy = -17.96 eV per cell; mass density = 8.1 Mg/m³
1.0
1.7869 1.0317 12.3112
-1.7869 1.0317 12.3112
0.0000 -2.0633 12.3112
Pm Dy Bi
2 1 1
Cartesian
0.0000 0.0000 3.2312
0.0000 0.0000 33.7024
0.0000 0.0000 18.4668
0.0000 0.0000 0.0000

***

Pm3DyBi4, relaxed, DFT GGA-PBE; volume = 33.332 A^3/atom; uncorrected energy = -41.75 eV per cell; mass density = 8.9 Mg/m³
1.0
6.4365 0.0000 0.0000
0.0000 6.4365 0.0000
0.0000 0.0000 6.4365
Pm Dy Bi
3 1 4
Cartesian
0.0000 0.0000 3.2183
0.0000 3.2183 0.0000
3.2183 0.0000 0.0000
3.2183 3.2183 3.2183
0.0000 0.0000 0.0000
0.0000 3.2183 3.2183
3.2183 0.0000 3.2183
3.2183 3.2183 0.0000

***

PmDy2Bi, relaxed, DFT GGA-PBE; volume = 34.302 A^3/atom; uncorrected energy = -18.53 eV per cell; mass density = 8.2 Mg/m³
1.0
2.0299 1.1719 9.6130
-2.0299 1.1719 9.6130
0.0000 -2.3439 9.6130
Pm Dy Bi
1 2 1
Cartesian
0.0000 0.0000 0.0000
0.0000 0.0000 6.8262
0.0000 0.0000 12.4271
0.0000 0.0000 24.0556